[1]
First-principles (meta-GGA SCAN) data for Y4Os at its PBEsol-relaxed geometry, as listed in Alexandria.

Cell: 5.555 5.555 5.555 Å, 104.61 104.61 119.71°
Sites, in units of the cell vectors:
Os 0.000 0.000 0.000
Y 0.349 0.186 0.535
Y 0.186 0.651 0.836
Y 0.651 0.814 0.465
Y 0.814 0.349 0.164

Results
space-group type	I4/m
total magnetization	0.000	μB/atom

=====

[2]
First-principles (meta-GGA SCAN) data for Y2Os at its PBEsol-relaxed geometry, as listed in Alexandria.

Cell: 4.265 6.014 6.510 Å, 75.11 70.88 69.23°
Sites, in units of the cell vectors:
Y 0.908 0.817 0.367
Y 0.317 0.289 0.077
Y 0.683 0.711 0.923
Y 0.092 0.183 0.633
Os 0.360 0.633 0.647
Os 0.640 0.367 0.353

Results
space-group type	C2/m
total magnetization	0.000	μB/atom

=====

[3]
First-principles (meta-GGA SCAN) data for Y2ZnOs at its PBEsol-relaxed geometry, as listed in Alexandria.

Cell: 3.824 4.285 5.570 Å, 90.00 110.07 90.00°
Sites, in units of the cell vectors:
Y 0.109 0.000 0.219
Y 0.393 0.500 0.785
Zn 0.819 0.000 0.637
Os 0.679 0.500 0.359

Results
space-group type	Amm2
total magnetization	0.000	μB/atom

=====

The records above yield E_tot values of -183.3, -256.8, -142.5 eV per cell, respectively.
The records above yield N(E_F) values of 6.0, 4.9, 3.7 states/eV/cell, respectively.